This record from the Alexandria database describes a relaxed VBOsCl2 crystal. The functional is PBE.

Computed properties:
Total moment (μB per atom): 1.12
Final energy (eV per cell): -23.099
Raw formation energy (eV per atom): 1.5240

Cell and atoms, written as CIF:
```
data_VBOsCl2
_chemical_formula_sum 'V1 B1 Os1 Cl2'
_symmetry_space_group_name_H-M 'P 4/m m m'
_symmetry_Int_Tables_number 123
_symmetry_space_group_name_Hall '-P 4 2'
_cell_length_a 4.6369
_cell_length_b 4.6369
_cell_length_c 4.3383
_cell_angle_alpha 90.00
_cell_angle_beta 90.00
_cell_angle_gamma 90.00
loop_
_atom_site_label
_atom_site_type_symbol
_atom_site_fract_x
_atom_site_fract_y
_atom_site_fract_z
V1 V 0.0000 0.0000 0.0000
B1 B 0.0000 0.0000 0.5000
Os1 Os 0.5000 0.5000 0.5000
Cl1 Cl 0.0000 0.5000 0.0000
```